# NaLiNiTe, relaxed, DFT GGA-PBE
data_NaLiNiTe
_space_group_name_H-M_alt 'F -4 3 m'
_space_group_IT_number 216
_space_group_name_Hall 'F -4 2 3'
_cell_length_a 6.5193
_cell_length_b 6.5193
_cell_length_c 6.5193
_cell_angle_alpha 90.00
_cell_angle_beta 90.00
_cell_angle_gamma 90.00
loop_
_atom_site_label
_atom_site_fract_x
_atom_site_fract_y
_atom_site_fract_z
_atom_site_occupancy
Na1 0.0000 0.0000 0.0000 1
Li1 0.2500 0.2500 0.2500 1
Ni1 0.0000 0.0000 0.5000 1
Te1 0.2500 0.2500 0.7500 1
# - M_tot: 0.000 μB/atom
# - Distance to the lowest polymorph of the same formula: 55 meV per atom



# Tb2DyAl3Si2Ir, relaxed, DFT GGA-PBE
data_Tb2DyAl3Si2Ir
_space_group_name_H-M_alt 'A m m 2'
_space_group_IT_number 38
_cell_length_a 4.2270
_cell_length_b 12.0006
_cell_length_c 6.9313
_cell_angle_alpha 90.00
_cell_angle_beta 90.00
_cell_angle_gamma 90.00
loop_
_space_group_symop_operation_xyz
'x,y,z'
'-x,-y,z'
'-x,y,z'
'x,-y,z'
'x,y+1/2,z+1/2'
'-x,-y+1/2,z+1/2'
'-x,y+1/2,z+1/2'
'x,-y+1/2,z+1/2'
loop_
_atom_site_label
_atom_site_fract_x
_atom_site_fract_y
_atom_site_fract_z
_atom_site_occupancy
Tb1 0.0000 0.2079 0.0000 1
Dy1 0.0000 0.0000 0.3766 1
Al1 0.5000 0.0000 0.0247 1
Al2 0.5000 0.1162 0.6755 1
Si1 0.5000 0.1662 0.2921 1
Ir1 0.0000 0.0000 0.7910 1
# - Electronic total energy: -5.8363 eV per atom
# - M_tot: 0.001 μB/atom



# SrAl2IrPt, relaxed, DFT GGA-PBE
data_SrAl2IrPt
_space_group_name_H-M_alt 'P 4/n m m'
_space_group_IT_number 129
_cell_length_a 4.3699
_cell_length_b 4.3699
_cell_length_c 10.3195
_cell_angle_alpha 90.00
_cell_angle_beta 90.00
_cell_angle_gamma 90.00
loop_
_space_group_symop_operation_xyz
'x,y,z'
'-x,-y,-z'
'-y+1/2,x,z'
'y+1/2,-x,-z'
'-x+1/2,-y+1/2,z'
'x+1/2,y+1/2,-z'
'y,-x+1/2,z'
'-y,x+1/2,-z'
'x+1/2,-y,-z'
'-x+1/2,y,z'
'-y,-x,-z'
'y,x,z'
'-x,y+1/2,-z'
'x,-y+1/2,z'
'y+1/2,x+1/2,-z'
'-y+1/2,-x+1/2,z'
loop_
_atom_site_label
_atom_site_fract_x
_atom_site_fract_y
_atom_site_fract_z
_atom_site_occupancy
Sr1 0.2500 0.2500 0.2376 1
Al1 0.2500 0.2500 0.8834 1
Al2 0.2500 0.7500 0.5000 1
Ir1 0.2500 0.7500 0.0000 1
Pt1 0.2500 0.2500 0.6290 1
# - Electronic total energy: -5.6960 eV per atom
# - M_tot: 0.001 μB/atom



# ErPu, relaxed, DFT GGA-PBE
data_ErPu
_space_group_name_H-M_alt 'F m -3 m'
_space_group_IT_number 225
_space_group_name_Hall '-F 4 2 3'
_cell_length_a 6.3968
_cell_length_b 6.3968
_cell_length_c 6.3968
_cell_angle_alpha 90.00
_cell_angle_beta 90.00
_cell_angle_gamma 90.00
loop_
_atom_site_label
_atom_site_fract_x
_atom_site_fract_y
_atom_site_fract_z
_atom_site_occupancy
Er1 0.0000 0.0000 0.0000 1
Pu1 0.0000 0.0000 0.5000 1
# - E_form: 807 meV/atom
# - M_tot: 3.472 μB/atom
# - Distance to the lowest polymorph of the same formula: 734 meV per atom



# ZnAgTeO, relaxed, DFT GGA-PBE
data_ZnAgTeO
_space_group_name_H-M_alt 'P 4/n m m'
_space_group_IT_number 129
_cell_length_a 3.9477
_cell_length_b 3.9477
_cell_length_c 10.0634
_cell_angle_alpha 90.00
_cell_angle_beta 90.00
_cell_angle_gamma 90.00
loop_
_space_group_symop_operation_xyz
'x,y,z'
'-x,-y,-z'
'-y+1/2,x,z'
'y+1/2,-x,-z'
'-x+1/2,-y+1/2,z'
'x+1/2,y+1/2,-z'
'y,-x+1/2,z'
'-y,x+1/2,-z'
'x+1/2,-y,-z'
'-x+1/2,y,z'
'-y,-x,-z'
'y,x,z'
'-x,y+1/2,-z'
'x,-y+1/2,z'
'y+1/2,x+1/2,-z'
'-y+1/2,-x+1/2,z'
loop_
_atom_site_label
_atom_site_fract_x
_atom_site_fract_y
_atom_site_fract_z
_atom_site_occupancy
Zn1 0.2500 0.2500 0.0488 1
Ag1 0.2500 0.2500 0.6245 1
Te1 0.2500 0.2500 0.3251 1
O1 0.2500 0.7500 0.0000 1
# - Distance to the lowest polymorph of the same formula: 43 meV per atom



# PrScPd, relaxed, DFT GGA-PBE
data_PrScPd
_space_group_name_H-M_alt 'F -4 3 m'
_space_group_IT_number 216
_space_group_name_Hall 'F -4 2 3'
_cell_length_a 6.8563
_cell_length_b 6.8563
_cell_length_c 6.8563
_cell_angle_alpha 90.00
_cell_angle_beta 90.00
_cell_angle_gamma 90.00
loop_
_atom_site_label
_atom_site_fract_x
_atom_site_fract_y
_atom_site_fract_z
_atom_site_occupancy
Pr1 0.0000 0.0000 0.0000 1
Sc1 0.0000 0.0000 0.5000 1
Pd1 0.2500 0.2500 0.2500 1
# - E_form: -359 meV/atom
# - M_tot: 0.004 μB/atom
# - Distance to the lowest polymorph of the same formula: 0 meV per atom